A plane-wave DFT calculation with PBE was carried out for an optimized crystal structure of ScAg.

It has space group R-3m (No. 166, hexagonal axes), with a = 3.1723 Å, b = 3.1723 Å, c = 28.8159 Å, α = 90.00°, β = 90.00° and γ = 120.00°. The inequivalent atoms are Sc at (0.0000, 0.0000, 0.1215) and Ag at (0.0000, 0.0000, 0.3731).

The value obtained for the formation energy is -0.035 eV/f.u. Its total energy is -9.218 eV/f.u. The total magnetic moment is 0.08 μB per atom.